(1)
Material: DySiBr
Method: DFT, PBE
State: relaxed

a = 4.0503 Å, b = 4.0503 Å, c = 11.6817 Å
α = 100.10°, β = 100.10°, γ = 60.00°
Element x y z (fractional)
Dy 0.0558 0.0558 0.1655
Dy 0.9442 0.9442 0.8345
Si 0.3365 0.3365 0.0093
Si 0.6635 0.6635 0.9907
Br 0.2238 0.2238 0.6756
Br 0.7762 0.7762 0.3244

Results
* calculated total energy: -5.11 eV/atom


(2)
Material: TbCe5Pb3
Method: DFT, PBE
State: relaxed

a = 9.6188 Å, b = 9.6188 Å, c = 6.7118 Å
α = 90.00°, β = 90.00°, γ = 120.00°
Element x y z (fractional)
Tb 0.0000 0.0000 0.0000
Tb 0.0000 0.0000 0.5000
Ce 0.0000 0.3404 0.2500
Ce 0.0000 0.6596 0.7500
Ce 0.3333 0.6667 0.0000
Ce 0.3333 0.6667 0.5000
Ce 0.3404 0.0000 0.2500
Ce 0.3404 0.3404 0.7500
Ce 0.6596 0.0000 0.7500
Ce 0.6596 0.6596 0.2500
Ce 0.6667 0.3333 0.0000
Ce 0.6667 0.3333 0.5000
Pb 0.0000 0.3260 0.7500
Pb 0.0000 0.6740 0.2500
Pb 0.3260 0.0000 0.7500
Pb 0.3260 0.3260 0.2500
Pb 0.6740 0.0000 0.2500
Pb 0.6740 0.6740 0.7500

Results
* energy of formation: -314 meV per atom


Number 1: magnetization 0.00 μB per formula unit. Number 2: magnetization 8.54 μB per formula unit.